*1*
Below is crystalline ZrFeAg2 at its relaxed geometry, with properties calculated at the PBE-GGA level.

The structure belongs to space group C2/m (No. 12); the cell edges are 5.4789, 9.8471 and 2.8132 Å and the angles 90.00°, 111.69° and 90.00°. The inequivalent atoms are Zr at (0.0000, 0.0000, 0.0000), Fe at (0.0000, 0.5000, 0.0000) and Ag at (0.2500, 0.2500, 0.5000).

Its spin magnetization is 2.16 μB/f.u.


*2*
Below is crystalline ZrFeAg2 at its relaxed geometry, with properties calculated at the PBE-GGA level.

The structure belongs to space group I-4m2 (No. 119); the cell edges are 4.1647, 4.1647 and 8.0241 Å and the angles 90.00°, 90.00° and 90.00°. The inequivalent atoms are Zr at (0.0000, 0.0000, 0.0000), Fe at (0.0000, 0.5000, 0.2500), Ag at (0.0000, 0.0000, 0.5000) and Ag at (0.0000, 0.5000, 0.7500).

Its spin magnetization is 1.70 μB/f.u.


*3*
Below is crystalline ZrFeAg2 at its relaxed geometry, with properties calculated at the PBE-GGA level.

The structure belongs to space group P4/mmm (No. 123); the cell edges are 2.8821, 2.8821 and 8.4172 Å and the angles 90.00°, 90.00° and 90.00°. The inequivalent atoms are Zr at (0.0000, 0.0000, 0.0000), Fe at (0.0000, 0.0000, 0.5000) and Ag at (0.5000, 0.5000, 0.2755).

Its spin magnetization is 2.78 μB/f.u.


Which one is most stable, and which one is least stable? *2* is the most stable of them, while *1* is the least stable.


*1*
Below is crystalline ZrFeAg2 at its relaxed geometry, with properties calculated at the PBE-GGA level.

The structure belongs to space group I4/mmm (No. 139); the cell edges are 3.8740, 3.8740 and 9.0702 Å and the angles 90.00°, 90.00° and 90.00°. The inequivalent atoms are Zr at (0.0000, 0.0000, 0.0000), Fe at (0.0000, 0.0000, 0.5000) and Ag at (0.0000, 0.5000, 0.2500).

Its spin magnetization is 1.10 μB/f.u.


*2*
Below is crystalline ZrFeAg2 at its relaxed geometry, with properties calculated at the PBE-GGA level.

The structure belongs to space group R3m (No. 160, hexagonal axes); the cell edges are 2.9848, 2.9848 and 27.9494 Å and the angles 90.00°, 90.00° and 120.00°. The inequivalent atoms are Zr at (0.0000, 0.0000, 0.0000), Fe at (0.0000, 0.0000, 0.7465), Ag at (0.0000, 0.0000, 0.2424) and Ag at (0.0000, 0.0000, 0.4903).

Its spin magnetization is 3.06 μB/f.u.


Which one is most stable, and which one is least stable? *1* is the most stable of them, while *2* is the least stable.